A relaxed MnAg2Se2 crystal, computed with GGA-PBEsol.

Lattice parameters (Å, degrees): 3.8301 3.8301 7.3888 105.02 105.02 90.00
Last column: nearest neighbours and their distance in Å.
Element x y z (fractional)
Se1 0.7500 0.2500 0.5000  4 Se 2.71, 4 Ag 2.88
Mn1 0.0000 0.0000 0.0000  8 Ag 3.00
Ag1 0.4063 0.4063 0.8126  1 Ag 2.58, 4 Se 2.88
Ag2 0.5937 0.5937 0.1874  1 Ag 2.58, 4 Se 2.88
Se2 0.2500 0.7500 0.5000  4 Se 2.71, 4 Ag 2.88

Total energy ... -4.315 eV/atom
Space group ... I4/mmm, No. 139

A relaxed MnAgSe crystal, computed with GGA-PBEsol.

Lattice parameters (Å, degrees): 4.3111 4.3111 4.3111 60.00 60.00 60.00
Last column: nearest neighbours and their distance in Å.
Element x y z (fractional)
Ag1 0.5000 0.5000 0.5000  4 Mn 2.64
Se1 0.0000 0.0000 0.0000  4 Mn 2.64
Mn1 0.2500 0.2500 0.2500  4 Se 2.64, 4 Ag 2.64

Total energy ... -5.491 eV/atom
Space group ... F-43m, No. 216

A relaxed Mn2AgSe2 crystal, computed with GGA-PBEsol.

Lattice parameters (Å, degrees): 3.5298 3.5298 7.2143 104.16 104.16 90.00
Last column: nearest neighbours and their distance in Å.
Element x y z (fractional)
Mn1 0.2500 0.7500 0.5000  4 Se 2.40, 4 Mn 2.50
Ag1 0.0000 0.0000 0.0000  8 Se 3.06
Mn2 0.7500 0.2500 0.5000  4 Se 2.40, 4 Mn 2.50
Se1 0.3697 0.3697 0.7393  4 Mn 2.40
Se2 0.6303 0.6303 0.2607  4 Mn 2.40

Total energy ... -6.083 eV/atom
Space group ... I4/mmm, No. 139

A relaxed MnSiAgSe2 crystal, computed with GGA-PBEsol.

Lattice parameters (Å, degrees): 4.5479 5.1351 5.1351 90.00 90.00 90.00
Last column: nearest neighbours and their distance in Å.
Element x y z (fractional)
Se1 0.0000 0.5000 0.0000  2 Ag 2.57
Se2 0.0000 0.0000 0.5000  2 Ag 2.57
Si1 0.5000 0.0000 0.0000  2 Ag 2.27
Mn1 0.5000 0.5000 0.5000  8 Se 3.43, 4 Si 3.63
Ag1 0.0000 0.0000 0.0000  2 Si 2.27

Total energy ... -4.374 eV/atom
Space group ... P4/mmm, No. 123

A relaxed Ti2MnAgSe crystal, computed with GGA-PBEsol.

Lattice parameters (Å, degrees): 4.9419 4.9419 4.8133 90.00 90.00 90.00
Last column: nearest neighbours and their distance in Å.
Element x y z (fractional)
Mn1 0.5000 0.5000 0.5000  8 Ti 3.45, 4 Se 3.49
Se1 0.0000 0.0000 0.5000  2 Ag 2.41
Ti1 0.0000 0.5000 0.0000  2 Ag 2.47
Ti2 0.5000 0.0000 0.0000  2 Ag 2.47
Ag1 0.0000 0.0000 0.0000  2 Se 2.41, 4 Ti 2.47

Total energy ... -5.438 eV/atom
Space group ... P4/mmm, No. 123

A relaxed MnSiAg2 crystal, computed with GGA-PBEsol.

Lattice parameters (Å, degrees): 2.8942 4.5992 5.2386 116.04 106.04 90.00
Last column: nearest neighbours and their distance in Å.
Element x y z (fractional)
Si1 0.2390 0.7390 0.4780  2 Mn 2.39, 2 Ag 2.58
Mn1 0.5271 0.5271 0.0542  2 Si 2.39
Ag1 0.7568 0.2568 0.5136  4 Si 2.72, 2 Mn 2.82, 6 Ag 2.89-3.03
Ag2 0.9771 0.9771 0.9542  2 Si 2.58, 4 Mn 2.75

Energy relative to the lowest polymorph listed for this composition ... 0.15 eV/f.u.
Space group ... Imm2, No. 44

A relaxed MnSiAg2 crystal, computed with GGA-PBEsol.

Lattice parameters (Å, degrees): 3.7993 3.7993 4.1431 90.00 90.00 90.00
Last column: nearest neighbours and their distance in Å.
Element x y z (fractional)
Ag1 0.5000 0.0000 0.0000  4 Ag 2.69, 4 Mn 2.81, 4 Si 2.81
Si1 0.0000 0.0000 0.5000  4 Mn 2.69, 8 Ag 2.81
Mn1 0.5000 0.5000 0.5000  4 Si 2.69, 8 Ag 2.81
Ag2 0.0000 0.5000 0.0000  4 Ag 2.69, 4 Mn 2.81, 4 Si 2.81

Energy relative to the lowest polymorph listed for this composition ... 0.01 eV/f.u.
Space group ... P4/mmm, No. 123

A relaxed MnSiAg2 crystal, computed with GGA-PBEsol.

Lattice parameters (Å, degrees): 2.7870 4.6531 4.8906 99.51 106.56 90.00
Last column: nearest neighbours and their distance in Å.
Element x y z (fractional)
Ag1 0.7463 0.7495 0.4926  6 Ag 2.71-2.79, 3 Mn 2.76-2.83, 3 Si 2.77-2.82
Ag2 0.2537 0.2505 0.5074  6 Ag 2.71-2.79, 3 Mn 2.76-2.83, 3 Si 2.77-2.82
Si1 0.0000 0.5000 0.0000  4 Mn 2.71, 6 Ag 2.77-2.82, 2 Si 2.79
Mn1 0.5000 0.0000 0.0000  4 Si 2.71, 6 Ag 2.76-2.83, 2 Mn 2.79

Energy relative to the lowest polymorph listed for this composition ... 0.00 eV/f.u.
Space group ... C2/m, No. 12

A relaxed MnSiAg2 crystal, computed with GGA-PBEsol.

Lattice parameters (Å, degrees): 2.7641 4.6702 4.6848 90.00 90.00 92.50
Last column: nearest neighbours and their distance in Å.
Element x y z (fractional)
Ag1 0.2726 0.2494 0.0000  6 Ag 2.61-2.84, 2 Si 2.70, 2 Mn 2.74
Ag2 0.7274 0.7506 0.0000  6 Ag 2.61-2.84, 2 Si 2.70, 2 Mn 2.74
Mn1 0.0000 0.5000 0.5000  4 Si 2.66-2.76, 4 Ag 2.74, 2 Mn 2.76
Si1 0.5000 0.0000 0.5000  4 Mn 2.66-2.76, 4 Ag 2.70, 2 Si 2.76

Energy relative to the lowest polymorph listed for this composition ... 0.12 eV/f.u.
Space group ... P2/m, No. 10

A relaxed SrTiMn2Ag crystal, computed with GGA-PBEsol.

Lattice parameters (Å, degrees): 4.9509 4.9703 4.9703 90.00 90.00 90.00
Last column: nearest neighbours and their distance in Å.
Element x y z (fractional)
Ag1 0.0000 0.0000 0.0000  2 Ti 2.48, 4 Mn 2.49
Mn1 0.0000 0.5000 0.0000  2 Ag 2.49
Ti1 0.5000 0.0000 0.0000  2 Ag 2.48
Sr1 0.5000 0.5000 0.5000  8 Mn 3.51, 4 Ti 3.51
Mn2 0.0000 0.0000 0.5000  2 Ag 2.49

DFT formation energy ... 474 kJ/mol of formula units
Space group ... P4/mmm, No. 123

A relaxed TaMnAg crystal, computed with GGA-PBEsol.

Lattice parameters (Å, degrees): 2.6366 4.4125 4.4125 120.00 90.00 90.00
Last column: nearest neighbours and their distance in Å.
Element x y z (fractional)
Ag1 0.9786 0.0000 0.0000  2 Ag 2.64, 3 Mn 2.69, 3 Ta 2.75
Mn1 0.6463 0.3333 0.6667  2 Mn 2.64, 3 Ta 2.65, 3 Ag 2.69
Ta1 0.3751 0.6667 0.3333  2 Ta 2.64, 3 Mn 2.65, 3 Ag 2.75

DFT formation energy ... 133 kJ/mol of formula units
Energy relative to the lowest polymorph listed for this composition ... 0.46 eV/f.u.
Space group ... P3m1, No. 156

A relaxed TaMnAg crystal, computed with GGA-PBEsol.

Lattice parameters (Å, degrees): 3.1524 3.1524 5.1142 107.95 107.95 90.00
Last column: nearest neighbours and their distance in Å.
Element x y z (fractional)
Ag1 0.0044 0.0044 0.0088  5 Mn 2.78-2.95, 5 Ta 2.82-2.85
Mn1 0.6845 0.6845 0.3689  4 Ta 2.52, 4 Ag 2.78
Ta1 0.3111 0.3111 0.6222  4 Mn 2.52

DFT formation energy ... 89 kJ/mol of formula units
Energy relative to the lowest polymorph listed for this composition ... 0.00 eV/f.u.
Space group ... I4mm, No. 107

A relaxed TaMnAg2 crystal, computed with GGA-PBEsol.

Lattice parameters (Å, degrees): 2.7900 2.7900 8.1474 90.00 90.00 90.00
Last column: nearest neighbours and their distance in Å.
Element x y z (fractional)
Ta1 0.5000 0.5000 0.7338  4 Mn 2.74, 4 Ta 2.79, 4 Ag 2.95
Ag1 0.0000 0.0000 0.0027  8 Ag 2.79-2.89, 4 Ta 2.95
Mn1 0.0000 0.0000 0.5012  4 Ta 2.74, 4 Ag 2.77, 4 Mn 2.79
Ag2 0.5000 0.5000 0.2623  4 Mn 2.77, 8 Ag 2.79-2.89

DFT formation energy ... 87 kJ/mol of formula units
Energy relative to the lowest polymorph listed for this composition ... 0.00 eV/f.u.
Space group ... P4mm, No. 99

A relaxed TaMnAg2 crystal, computed with GGA-PBEsol.

Lattice parameters (Å, degrees): 2.8241 2.8241 9.5367 81.49 81.49 60.00
Last column: nearest neighbours and their distance in Å.
Element x y z (fractional)
Ag1 0.2462 0.2462 0.2615  3 Mn 2.77, 6 Ag 2.82, 3 Ta 2.95
Ta1 0.0000 0.0000 0.0000  6 Ta 2.82, 6 Ag 2.95
Ag2 0.7538 0.7538 0.7385  3 Mn 2.77, 6 Ag 2.82, 3 Ta 2.95
Mn1 0.5000 0.5000 0.5000  6 Ag 2.77, 6 Mn 2.82

DFT formation energy ... 152 kJ/mol of formula units
Energy relative to the lowest polymorph listed for this composition ... 0.67 eV/f.u.
Space group ... R-3m, No. 166

A relaxed TaMn2Ag crystal, computed with GGA-PBEsol.

Lattice parameters (Å, degrees): 2.7821 2.7821 7.1194 90.00 90.00 90.00
Last column: nearest neighbours and their distance in Å.
Element x y z (fractional)
Mn1 0.0000 0.0000 0.0484  4 Mn 2.27
Ta1 0.0000 0.0000 0.4698  5 Mn 2.71-3.00, 4 Ta 2.78, 4 Ag 2.93
Ag1 0.5000 0.5000 0.7741  5 Mn 2.77-3.09, 4 Ag 2.78, 4 Ta 2.93
Mn2 0.5000 0.5000 0.2077  4 Mn 2.27

DFT formation energy ... 86 kJ/mol of formula units
Space group ... P4mm, No. 99

A relaxed Mn2TcAg crystal, computed with GGA-PBEsol.

Lattice parameters (Å, degrees): 2.6541 2.6541 7.5319 90.00 90.00 90.00
Last column: nearest neighbours and their distance in Å.
Element x y z (fractional)
Mn1 0.0000 0.0000 0.0340  8 Mn 2.45-2.65
Tc1 0.0000 0.0000 0.4642  4 Mn 2.50, 4 Tc 2.65
Mn2 0.5000 0.5000 0.2439  8 Mn 2.45-2.65, 4 Tc 2.50
Ag1 0.5000 0.5000 0.7579  4 Ag 2.65, 4 Mn 2.80, 4 Tc 2.90

DFT formation energy ... 122 kJ/mol of formula units
Space group ... P4mm, No. 99

A relaxed MnTcAg2 crystal, computed with GGA-PBEsol.

Lattice parameters (Å, degrees): 2.7285 2.7285 9.4502 81.70 81.70 60.00
Last column: nearest neighbours and their distance in Å.
Element x y z (fractional)
Mn1 0.5000 0.5000 0.5000  6 Mn 2.73, 6 Ag 2.77
Tc1 0.0000 0.0000 0.0000  6 Tc 2.73, 6 Ag 2.85
Ag1 0.7516 0.7516 0.7451  6 Ag 2.73, 3 Mn 2.77, 3 Tc 2.85
Ag2 0.2484 0.2484 0.2549  6 Ag 2.73, 3 Mn 2.77, 3 Tc 2.85

DFT formation energy ... 201 kJ/mol of formula units
Energy relative to the lowest polymorph listed for this composition ... 0.80 eV/f.u.
Space group ... R-3m, No. 166

A relaxed MnTcAg2 crystal, computed with GGA-PBEsol.

Lattice parameters (Å, degrees): 2.6831 2.6831 8.8349 90.00 90.00 110.34
Last column: nearest neighbours and their distance in Å.
Element x y z (fractional)
Mn1 0.0000 0.0000 0.4835  2 Tc 2.39
Ag1 0.0000 0.0000 0.0053  6 Ag 2.68-2.83, 2 Tc 2.84
Tc1 0.5000 0.5000 0.2755  2 Mn 2.39
Ag2 0.5000 0.5000 0.7356  6 Ag 2.68-2.83, 2 Mn 2.70

DFT formation energy ... 124 kJ/mol of formula units
Energy relative to the lowest polymorph listed for this composition ... 0.00 eV/f.u.
Space group ... Cmm2, No. 35

A relaxed Mn2TcAg crystal, computed with GGA-PBEsol.

Lattice parameters (Å, degrees): 2.6516 4.5074 4.7183 100.07 90.00 107.11
Last column: nearest neighbours and their distance in Å.
Element x y z (fractional)
Mn1 0.2568 0.5136 0.3055  2 Mn 2.28, 3 Tc 2.51-2.55
Mn2 0.7432 0.4864 0.6945  2 Mn 2.28, 3 Tc 2.51-2.55
Tc1 0.0000 0.0000 0.5000  6 Mn 2.51-2.55, 2 Tc 2.65, 4 Ag 2.71
Ag1 0.5000 0.0000 0.0000  2 Ag 2.65, 4 Tc 2.71, 6 Mn 2.75

DFT formation energy ... 194 kJ/mol of formula units
Space group ... C2/m, No. 12

A relaxed MnTcAg2 crystal, computed with GGA-PBEsol.

Lattice parameters (Å, degrees): 2.7000 4.7887 4.7887 90.00 90.00 90.00
Last column: nearest neighbours and their distance in Å.
Element x y z (fractional)
Tc1 0.5000 0.0000 0.0000  2 Tc 2.70, 8 Ag 2.75
Mn1 0.5000 0.5000 0.5000  2 Mn 2.70, 8 Ag 2.75
Ag1 0.0000 0.5000 0.0000  2 Ag 2.70, 4 Mn 2.75, 4 Tc 2.75
Ag2 0.0000 0.0000 0.5000  2 Ag 2.70, 4 Mn 2.75, 4 Tc 2.75

DFT formation energy ... 267 kJ/mol of formula units
Energy relative to the lowest polymorph listed for this composition ... 1.49 eV/f.u.
Space group ... P4/mmm, No. 123

A relaxed MnTcAg crystal, computed with GGA-PBEsol.

Lattice parameters (Å, degrees): 2.6667 2.6667 6.6916 90.00 90.00 120.00
Last column: nearest neighbours and their distance in Å.
Element x y z (fractional)
Tc1 0.6667 0.3333 0.3630  3 Mn 2.44, 6 Tc 2.67
Mn1 0.3333 0.6667 0.6462  3 Tc 2.44, 6 Mn 2.67
Ag1 0.0000 0.0000 0.9908  6 Ag 2.67, 3 Mn 2.77, 3 Tc 2.93

DFT formation energy ... 97 kJ/mol of formula units
Space group ... P3m1, No. 156

A relaxed MnAgTe crystal, computed with GGA-PBEsol.

Lattice parameters (Å, degrees): 4.5563 4.5563 4.5563 60.00 60.00 60.00
Last column: nearest neighbours and their distance in Å.
Element x y z (fractional)
Ag1 0.2500 0.2500 0.2500  4 Mn 2.79, 4 Te 2.79
Te1 0.5000 0.5000 0.5000  4 Ag 2.79
Mn1 0.0000 0.0000 0.0000  4 Ag 2.79

Total energy ... -5.087 eV/atom
Space group ... F-43m, No. 216

A relaxed MnAgTe2 crystal, computed with GGA-PBEsol.

Lattice parameters (Å, degrees): 3.9368 3.9368 7.1976 74.13 74.13 60.00
Last column: nearest neighbours and their distance in Å.
Element x y z (fractional)
Ag1 0.5000 0.5000 0.5000  6 Te 2.92
Te1 0.7437 0.7437 0.7690  3 Mn 2.77, 3 Ag 2.92
Mn1 0.0000 0.0000 0.0000  6 Te 2.77
Te2 0.2563 0.2563 0.2310  3 Mn 2.77, 3 Ag 2.92

Total energy ... -5.046 eV/atom
Space group ... R-3m, No. 166

A relaxed MnAgTe2 crystal, computed with GGA-PBEsol.

Lattice parameters (Å, degrees): 3.1697 5.6399 5.6399 87.96 74.78 74.78
Last column: nearest neighbours and their distance in Å.
Element x y z (fractional)
Ag1 0.0000 0.5000 0.5000  4 Te 2.82
Te1 0.0000 0.0000 0.5000  2 Ag 2.82, 2 Mn 2.82
Te2 0.0000 0.5000 0.0000  2 Mn 2.82, 2 Ag 2.82
Mn1 0.0000 0.0000 0.0000  4 Te 2.82

Total energy ... -4.775 eV/atom
Space group ... C2/m, No. 12

A relaxed MnAgTe2 crystal, computed with GGA-PBEsol.

Lattice parameters (Å, degrees): 5.8027 5.7354 7.2482 66.69 66.40 90.00
Last column: nearest neighbours and their distance in Å.
Element x y z (fractional)
Mn1 0.0000 0.2500 0.0000  4 Te 2.61, 2 Mn 2.87, 2 Ag 2.90
Te1 0.6368 0.3510 0.2980  2 Mn 2.61, 2 Ag 2.83
Te2 0.0653 0.8510 0.2980  2 Mn 2.61, 2 Ag 2.83
Te3 0.9347 0.1490 0.7020  2 Mn 2.61, 2 Ag 2.83
Ag1 0.5000 0.7500 0.0000  4 Te 2.83, 2 Ag 2.87, 2 Mn 2.90
Mn2 0.0000 0.7500 0.0000  4 Te 2.61, 2 Mn 2.87, 2 Ag 2.90
Te4 0.3632 0.6490 0.7020  2 Mn 2.61, 2 Ag 2.83
Ag2 0.5000 0.2500 0.0000  4 Te 2.83, 2 Ag 2.87, 2 Mn 2.90

Total energy ... -5.036 eV/atom
Space group ... Ibam, No. 72

A relaxed TiMn2Ag crystal, computed with GGA-PBEsol.

Lattice parameters (Å, degrees): 4.2971 4.2971 4.2971 60.00 60.00 60.00
Last column: nearest neighbours and their distance in Å.
Element x y z (fractional)
Ag1 0.5000 0.5000 0.5000  8 Mn 2.63
Ti1 0.0000 0.0000 0.0000  8 Mn 2.63
Mn1 0.2500 0.2500 0.2500  4 Ti 2.63, 4 Ag 2.63
Mn2 0.7500 0.7500 0.7500  4 Ti 2.63, 4 Ag 2.63

DFT formation energy ... 99 kJ/mol of formula units
Space group ... Fm-3m, No. 225

A relaxed MnTl3Ag crystal, computed with GGA-PBEsol.

Lattice parameters (Å, degrees): 5.0729 5.0729 5.0729 90.00 90.00 90.00
Last column: nearest neighbours and their distance in Å.
Element x y z (fractional)
Ag1 0.5000 0.5000 0.5000  12 Tl 3.59
Tl1 0.0000 0.0000 0.5000  2 Mn 2.54
Mn1 0.0000 0.0000 0.0000  6 Tl 2.54
Tl2 0.5000 0.0000 0.0000  2 Mn 2.54
Tl3 0.0000 0.5000 0.0000  2 Mn 2.54

DFT formation energy ... 286 kJ/mol of formula units
Space group ... Pm-3m, No. 221

A relaxed Mn2TlAg crystal, computed with GGA-PBEsol.

Lattice parameters (Å, degrees): 3.0048 3.0048 9.1167 80.51 80.51 60.00
Last column: nearest neighbours and their distance in Å.
Element x y z (fractional)
Ag1 0.0000 0.0000 0.0000  6 Mn 2.76, 6 Ag 3.00
Tl1 0.5000 0.5000 0.5000  6 Mn 2.91, 6 Tl 3.00
Mn1 0.7464 0.7464 0.7608  3 Ag 2.76, 3 Tl 2.91, 6 Mn 3.00
Mn2 0.2536 0.2536 0.2392  3 Ag 2.76, 3 Tl 2.91, 6 Mn 3.00

DFT formation energy ... 242 kJ/mol of formula units
Space group ... R-3m, No. 166

A relaxed MnTl2Ag crystal, computed with GGA-PBEsol.

Lattice parameters (Å, degrees): 4.8656 4.8656 4.8656 60.00 60.00 60.00
Last column: nearest neighbours and their distance in Å.
Element x y z (fractional)
Mn1 0.0000 0.0000 0.0000  8 Tl 2.98
Tl1 0.2500 0.2500 0.2500  4 Ag 2.98, 4 Mn 2.98
Tl2 0.7500 0.7500 0.7500  4 Mn 2.98, 4 Ag 2.98
Ag1 0.5000 0.5000 0.5000  8 Tl 2.98

DFT formation energy ... 156 kJ/mol of formula units
Space group ... Fm-3m, No. 225

A relaxed MnAg2W crystal, computed with GGA-PBEsol.

Lattice parameters (Å, degrees): 2.7320 4.8329 4.8329 90.00 90.00 90.00
Last column: nearest neighbours and their distance in Å.
Element x y z (fractional)
Ag1 0.0000 0.5000 0.0000  2 Ag 2.73, 4 Mn 2.78, 4 W 2.78
Mn1 0.5000 0.5000 0.5000  2 Mn 2.73, 8 Ag 2.78
Ag2 0.0000 0.0000 0.5000  2 Ag 2.73, 4 Mn 2.78, 4 W 2.78
W1 0.5000 0.0000 0.0000  2 W 2.73, 8 Ag 2.78

DFT formation energy ... 309 kJ/mol of formula units
Energy relative to the lowest polymorph listed for this composition ... 1.66 eV/f.u.
Space group ... P4/mmm, No. 123